# CoReOs

A relaxed CoReOs crystal (PBE, Alexandria via LeMat-Bulk).

Cell: 2.6909 3.7674 7.9410 Å, 90.00 90.00 90.00°
Last column: nearest neighbours and their distance in Å.
Space group Imm2 (No. 44)
Inequivalent atoms, fractional coordinates:
Co (0.0000, 0.0000, 0.0000) (multiplicity 2)  5 Re 2.65-2.66, 5 Os 2.66-2.67, 2 Co 2.69
Re (0.0000, 0.0000, 0.3343) (multiplicity 2)  5 Os 2.62-2.68, 5 Co 2.65-2.66, 2 Re 2.69
Os (0.0000, 0.0000, 0.6638) (multiplicity 2)  5 Re 2.62-2.68, 5 Co 2.66-2.67, 2 Os 2.69

Results
DFT formation energy ... 0.06 eV/atom
ΔE to the lowest computed polymorph ... 0.00 kJ/mol of atoms
E ... -10.20 eV per atom
Calculated density ... 17.96 g/cm3